# Sr2YHg10

Crystalline Sr2YHg10 at its relaxed geometry (GGA-PBE, the Alexandria database).

extended XYZ file:
```
26
Lattice="5.919 0.000 0.000 0.000 13.722 0.000 0.000 0.000 10.782" Properties=species:S:1:pos:R:3 pbc="T T T"
Hg 0.000 1.676 5.739
Hg 4.390 2.506 0.982
Hg 0.000 4.381 3.351
Hg 1.529 2.506 0.982
Hg 4.390 9.367 4.409
Hg 0.000 11.242 2.040
Hg 0.000 13.197 7.769
Hg 0.000 7.385 2.378
Hg 0.000 6.337 8.405
Hg 0.000 9.341 7.432
Hg 1.529 11.216 9.800
Hg 0.000 12.045 5.043
Hg 4.390 11.216 9.800
Hg 1.529 9.367 4.409
Hg 0.000 5.185 0.348
Hg 0.000 2.480 8.742
Hg 0.000 8.537 10.435
Hg 0.000 0.524 3.014
Hg 1.529 4.355 6.373
Hg 4.390 4.355 6.373
Sr 2.959 9.172 1.361
Sr 2.959 4.550 9.422
Sr 2.959 2.311 4.030
Sr 2.959 11.411 6.752
Y 0.000 6.861 5.391
Y 0.000 0.000 0.000
```

## Properties
Space-group type: Pbam, No. 55
Calculated formation energy (eV/atom): -0.147
Volume (Å³ per cell): 876
Energy (eV per atom): -1.1355

=====

# Sr2YHg

Crystalline Sr2YHg at its relaxed geometry (GGA-PBE, the Alexandria database).

extended XYZ file:
```
4
Lattice="-1.369 7.074 -0.768 -4.754 5.206 -1.671 -2.666 2.544 4.735" Properties=species:S:1:pos:R:3 pbc="T T T"
Hg -2.154 3.583 0.668
Sr -6.603 11.150 1.698
Sr -5.973 11.858 -2.131
Y -4.576 7.924 0.768
```

## Properties
Space-group type: Cm, No. 8
Calculated formation energy (eV/atom): -0.152
Volume (Å³ per cell): 150
Energy (eV per atom): -2.6843

=====

# Sr2YHg

Crystalline Sr2YHg at its relaxed geometry (GGA-PBE, the Alexandria database).

extended XYZ file:
```
4
Lattice="-0.080 -1.206 3.709 2.196 -3.080 -0.954 8.311 5.335 1.913" Properties=species:S:1:pos:R:3 pbc="T T T"
Y 4.713 3.025 1.085
Hg 7.035 1.694 2.753
Sr 3.371 -0.658 1.910
Sr 7.775 4.991 1.790
```

## Properties
Space-group type: P4mm, No. 99
Calculated formation energy (eV/atom): -0.197
Volume (Å³ per cell): 153
Energy (eV per atom): -2.7295